Record 1
First-principles (PBE) data for a relaxed structure of MgZn6Ni6, as listed in the Alexandria database.

Geometry as CIF:
```
data_MgZn6Ni6
_chemical_formula_sum 'Mg2 Zn12 Ni12'
_cell_length_a 4.9346
_cell_length_b 8.2055
_cell_length_c 8.5666
_cell_angle_alpha 90.00
_cell_angle_beta 90.00
_cell_angle_gamma 90.00
_symmetry_space_group_name_H-M 'I m m m'
_symmetry_Int_Tables_number 71
_symmetry_space_group_name_Hall '-I 2 2'
loop_
_atom_site_label
_atom_site_type_symbol
_atom_site_fract_x
_atom_site_fract_y
_atom_site_fract_z
_atom_site_occupancy
Mg1 Mg 0.0000 0.0000 0.0000 1
Zn1 Zn 0.0000 0.0000 0.3452 1
Zn2 Zn 0.0000 0.3327 0.0000 1
Zn3 Zn 0.0000 0.5000 0.3151 1
Ni1 Ni 0.0000 0.2644 0.5000 1
Ni2 Ni 0.2500 0.2500 0.2500 1
```

Summary:
Formation enthalpy at 0 K ... -0.19 eV/atom
Fermi-level density of states ... 17.92 states/eV per cell
Energy ... -3.570 eV per atom

=====

Record 2
First-principles (PBE) data for a relaxed structure of Y4PPbSe2, as listed in the Alexandria database.

Geometry as CIF:
```
data_Y4PPbSe2
_chemical_formula_sum 'Y4 P1 Pb1 Se2'
_cell_length_a 7.2238
_cell_length_b 4.1557
_cell_length_c 7.2718
_cell_angle_alpha 90.00
_cell_angle_beta 109.33
_cell_angle_gamma 90.00
_symmetry_space_group_name_H-M 'P 1 2/m 1'
_symmetry_Int_Tables_number 10
loop_
_symmetry_equiv_pos_as_xyz
'x,y,z'
'-x,-y,-z'
'-x,y,-z'
'x,-y,z'
loop_
_atom_site_label
_atom_site_type_symbol
_atom_site_fract_x
_atom_site_fract_y
_atom_site_fract_z
_atom_site_occupancy
Y1 Y 0.2377 0.0000 0.2330 1
Y2 Y 0.2497 0.5000 0.7645 1
P1 P 0.0000 0.5000 0.0000 1
Pb1 Pb 0.0000 0.0000 0.5000 1
Se1 Se 0.5000 0.0000 0.0000 1
Se2 Se 0.5000 0.5000 0.5000 1
```

Summary:
Fermi-level density of states ... 2.25 states/eV per cell
E_form (uncorrected) ... -11.4 eV per formula unit
Energy ... -6.670 eV per atom

=====

Record 3
First-principles (PBE) data for a relaxed structure of MnCr2Pt, as listed in the Alexandria database.

Geometry as CIF:
```
data_MnCr2Pt
_chemical_formula_sum 'Mn3 Cr6 Pt3'
_cell_length_a 2.6401
_cell_length_b 2.6401
_cell_length_c 25.2298
_cell_angle_alpha 90.00
_cell_angle_beta 90.00
_cell_angle_gamma 120.00
_symmetry_space_group_name_H-M 'R 3 m'
_symmetry_Int_Tables_number 160
_symmetry_space_group_name_Hall 'R 3 -2"'
loop_
_atom_site_label
_atom_site_type_symbol
_atom_site_fract_x
_atom_site_fract_y
_atom_site_fract_z
_atom_site_occupancy
Mn1 Mn 0.0000 0.0000 0.0000 1
Cr1 Cr 0.0000 0.0000 0.2599 1
Cr2 Cr 0.0000 0.0000 0.5115 1
Pt1 Pt 0.0000 0.0000 0.7569 1
```

Summary:
Formation enthalpy at 0 K ... 0.15 eV/atom
Fermi-level density of states ... 14.25 states/eV per cell
Energy ... -8.469 eV per atom

=====

Record 4
First-principles (PBE) data for a relaxed structure of V3SnH, as listed in the Alexandria database.

Geometry as CIF:
```
data_V3SnH
_chemical_formula_sum 'V12 Sn4 H4'
_cell_length_a 6.6441
_cell_length_b 5.1759
_cell_length_c 7.6793
_cell_angle_alpha 90.00
_cell_angle_beta 98.78
_cell_angle_gamma 90.00
_symmetry_space_group_name_H-M 'P 1 21/c 1'
_symmetry_Int_Tables_number 14
loop_
_symmetry_equiv_pos_as_xyz
'x,y,z'
'-x,-y,-z'
'-x,y+1/2,-z+1/2'
'x,-y+1/2,z+1/2'
loop_
_atom_site_label
_atom_site_type_symbol
_atom_site_fract_x
_atom_site_fract_y
_atom_site_fract_z
_atom_site_occupancy
V1 V 0.0312 0.0838 0.1845 1
V2 V 0.1727 0.5607 0.0648 1
V3 V 0.2965 0.0993 0.9561 1
Sn1 Sn 0.4119 0.6220 0.8050 1
H1 H 0.0560 0.2339 0.4147 1
```

Summary:
Fermi-level density of states ... 18.66 states/eV per cell
Energy ... -6.924 eV per atom

=====

In order of appearance, total moment = 0.0, 0.0, 0.6, 0.0 μB/cell.